Record 1
Below is a relaxed structure of PRuPt2, with properties calculated at the GGA-PBE level.

Cell lengths 5.9312, 5.9312, 5.9312 Å; angles 152.22, 141.49, 48.14 degrees
Positions (direct):
P  0.0000  0.0000  0.0000
Ru  0.5000  0.5000  0.0000
Pt  0.1851  0.6851  0.5000
Pt  0.8149  0.3149  0.5000

As for the energy of formation: -0.111 eV/atom.


Record 2
Below is a relaxed structure of PRuPt2, with properties calculated at the GGA-PBE level.

Cell lengths 4.3422, 4.3422, 5.4099 Å; angles 113.54, 113.54, 41.83 degrees
Positions (direct):
P  0.0000  0.0000  0.0000
Ru  0.7108  0.7108  0.9998
Pt  0.3317  0.3317  0.6438
Pt  0.5274  0.5274  0.3545

As for the energy of formation: -0.165 eV/atom.


Record 3
Below is a relaxed structure of PRuPt2, with properties calculated at the GGA-PBE level.

Cell lengths 4.7306, 4.7306, 2.8507 Å; angles 90.00, 90.00, 112.21 degrees
Positions (direct):
P  0.0000  0.0000  0.0000
Ru  0.5000  0.5000  0.0000
Pt  0.0000  0.5000  0.5000
Pt  0.5000  0.0000  0.5000

As for the energy of formation: 0.094 eV/atom.


Record 4
Below is a relaxed structure of PRu2Pt, with properties calculated at the GGA-PBE level.

Cell lengths 2.8606, 2.8606, 6.7103 Å; angles 90.00, 90.00, 90.00 degrees
Positions (direct):
P  0.0000  0.0000  0.0000
Ru  0.5000  0.5000  0.2037
Ru  0.5000  0.5000  0.7963
Pt  0.0000  0.0000  0.5000

As for the energy of formation: -0.195 eV/atom.


What is the energy of formation in the third record? 0.094 eV/atom